1.
Below is a relaxed structure of Tb2Sm8Tm, with properties calculated at the GGA-PBE level.

abc: 10.3043 13.4464 5.4597
angles: 90.00 90.17 90.00
Last column: nearest neighbours and their distance in Å.
Space group C2/m (No. 12)
Inequivalent atoms, fractional coordinates:
Tb1 0.0000 0.1194 0.0000 (multiplicity 4)  1 Tb 3.21, 6 Sm 3.23-3.60
Sm1 0.0000 0.2479 0.5000 (multiplicity 4)  2 Tb 3.23, 1 Tm 3.39, 4 Sm 3.58
Sm2 0.1640 0.3658 0.0007 (multiplicity 8)  7 Sm 3.38-3.72, 2 Tb 3.47-3.72, 2 Tm 3.68
Sm3 0.1659 0.0000 0.5000 (multiplicity 4)  7 Sm 3.42-3.75, 1 Tm 3.44, 4 Tb 3.60
Tm1 0.0000 0.5000 0.5000 (multiplicity 2)  12 Sm 3.39-3.68

## Properties
The calculation puts the formation energy from the elements at 1.861 eV per formula unit.

***

2.
Below is a relaxed structure of CdHg4P, with properties calculated at the GGA-PBE level.

abc: 8.4159 8.4159 8.4159
angles: 90.00 90.00 90.00
Last column: nearest neighbours and their distance in Å.
Space group F-43m (No. 216)
Inequivalent atoms, fractional coordinates:
Cd1 0.0000 0.0000 0.0000 (multiplicity 4)  12 Hg 3.49, 4 P 3.64
Hg1 0.1245 0.1245 0.6245 (multiplicity 16)  6 Hg 2.96-2.99
P1 0.2500 0.2500 0.2500 (multiplicity 4)  12 Hg 3.49, 4 Cd 3.64

## Properties
The calculation puts the formation energy from the elements at 2.992 eV per formula unit.

***

3.
Below is a relaxed structure of TmMgCd2, with properties calculated at the GGA-PBE level.

abc: 3.4950 3.4950 7.6043
angles: 90.00 90.00 90.00
Last column: nearest neighbours and their distance in Å.
Space group P4/mmm (No. 123)
Inequivalent atoms, fractional coordinates:
Tm1 0.0000 0.0000 0.0000 (multiplicity 1)  8 Cd 3.20, 4 Tm 3.49
Mg1 0.0000 0.0000 0.5000 (multiplicity 1)  8 Cd 3.04
Cd1 0.5000 0.5000 0.2675 (multiplicity 2)  4 Mg 3.04, 4 Tm 3.20

## Properties
The calculation puts the formation energy from the elements at -0.875 eV per formula unit.

***

4.
Below is a relaxed structure of Ba4AsBr5, with properties calculated at the GGA-PBE level.

abc: 4.9567 8.9950 18.7759
angles: 90.00 90.00 90.00
Last column: nearest neighbours and their distance in Å.
Space group Immm (No. 71)
Inequivalent atoms, fractional coordinates:
Ba1 0.0000 0.0000 0.1798 (multiplicity 4)  6 Br 3.31-3.59, 1 As 3.38
Ba2 0.0000 0.2578 0.5000 (multiplicity 4)  4 Br 3.26-3.39, 2 As 3.30
As1 0.0000 0.0000 0.0000 (multiplicity 2)  6 Ba 3.30-3.38
Br1 0.0000 0.2559 0.3266 (multiplicity 8)  4 Ba 3.26-3.59
Br2 0.0000 0.5000 0.0000 (multiplicity 2)  4 Ba 3.39

## Properties
For the formation energy (no corrections), the calculation gives -1.9509 eV per atom.

***

5.
Below is a relaxed structure of CsSrN2O, with properties calculated at the GGA-PBE level.

abc: 4.3968 4.3968 4.5480
angles: 90.00 90.00 90.00
Last column: nearest neighbours and their distance in Å.
Space group P4/mmm (No. 123)
Inequivalent atoms, fractional coordinates:
Cs1 0.0000 0.0000 0.0000 (multiplicity 1)  4 N 2.20, 2 O 2.27
Sr1 0.5000 0.5000 0.5000 (multiplicity 1)  4 O 3.11, 8 N 3.16
N1 0.0000 0.5000 0.0000 (multiplicity 2)  2 Cs 2.20
O1 0.0000 0.0000 0.5000 (multiplicity 1)  2 Cs 2.27

## Properties
For the formation energy (no corrections), the calculation gives 1.0669 eV per atom.

***

6.
Below is a relaxed structure of LaRe, with properties calculated at the GGA-PBE level.

abc: 6.1620 6.8696 9.4395
angles: 90.00 90.00 90.00
Last column: nearest neighbours and their distance in Å.
Space group Pnma (No. 62)
Inequivalent atoms, fractional coordinates:
La1 0.0128 0.2500 0.2085 (multiplicity 4)  3 La 3.18-3.54, 8 Re 3.36-3.50
La2 0.1877 0.2500 0.8516 (multiplicity 4)  4 Re 2.99-3.17
Re1 0.1718 0.0754 0.5408 (multiplicity 8)  2 Re 2.40-2.48

## Properties
The calculation puts the formation energy from the elements at 0.669 eV per formula unit.

***

7.
Below is a relaxed structure of Pm15Nd4Tl, with properties calculated at the GGA-PBE level.

abc: 5.1087 5.1087 25.9373
angles: 90.00 90.00 90.00
Last column: nearest neighbours and their distance in Å.
Space group P4/mmm (No. 123)
Inequivalent atoms, fractional coordinates:
Pm1 0.0000 0.0000 0.0000 (multiplicity 1)  8 Pm 3.57, 4 Tl 3.61
Pm2 0.0000 0.0000 0.1957 (multiplicity 2)  4 Nd 3.61, 8 Pm 3.64-3.68
Pm3 0.0000 0.0000 0.3985 (multiplicity 2)  4 Nd 3.61, 8 Pm 3.65-3.67
Pm4 0.0000 0.5000 0.0959 (multiplicity 4)  2 Tl 3.57, 8 Pm 3.57-3.64, 2 Nd 3.67
Pm5 0.0000 0.5000 0.2980 (multiplicity 4)  8 Pm 3.61-3.68, 4 Nd 3.65-3.67
Pm6 0.0000 0.5000 0.5000 (multiplicity 2)  8 Pm 3.61-3.67, 4 Nd 3.65
Nd1 0.5000 0.5000 0.1973 (multiplicity 2)  12 Pm 3.61-3.67
Nd2 0.5000 0.5000 0.3995 (multiplicity 2)  12 Pm 3.61-3.67
Tl1 0.5000 0.5000 0.0000 (multiplicity 1)  12 Pm 3.57-3.61

## Properties
The calculation puts the formation energy from the elements at -0.430 eV per formula unit.

***

8.
Below is a relaxed structure of Bi2SbBr, with properties calculated at the GGA-PBE level.

abc: 7.7204 7.7204 7.7204
angles: 90.00 90.00 90.00
Last column: nearest neighbours and their distance in Å.
Space group Fm-3m (No. 225)
Inequivalent atoms, fractional coordinates:
Bi1 0.2500 0.2500 0.2500 (multiplicity 8)  4 Sb 3.34, 4 Br 3.34
Sb1 0.0000 0.0000 0.0000 (multiplicity 4)  8 Bi 3.34
Br1 0.0000 0.0000 0.5000 (multiplicity 4)  8 Bi 3.34

## Properties
For the formation energy (no corrections), the calculation gives 0.0325 eV per atom.

***

9.
Below is a relaxed structure of NaTlSN2, with properties calculated at the GGA-PBE level.

abc: 4.5141 4.5141 5.3869
angles: 90.00 90.00 90.00
Last column: nearest neighbours and their distance in Å.
Space group P4/mmm (No. 123)
Inequivalent atoms, fractional coordinates:
Na1 0.0000 0.0000 0.0000 (multiplicity 1)  4 S 3.19, 8 N 3.51
Tl1 0.5000 0.5000 0.5000 (multiplicity 1)  4 N 2.26
S1 0.5000 0.5000 0.0000 (multiplicity 1)  2 Tl 2.69
N1 0.0000 0.5000 0.5000 (multiplicity 2)  2 Tl 2.26

## Properties
For the formation energy (no corrections), the calculation gives 1.3486 eV per atom.

***

10.
Below is a relaxed structure of BiAsP2S, with properties calculated at the GGA-PBE level.

abc: 4.7684 4.7684 4.7858
angles: 90.00 90.00 90.00
Last column: nearest neighbours and their distance in Å.
Space group P4/mmm (No. 123)
Inequivalent atoms, fractional coordinates:
Bi1 0.0000 0.0000 0.0000 (multiplicity 1)  4 S 3.37, 8 P 3.38
As1 0.5000 0.5000 0.5000 (multiplicity 1)  4 P 2.38, 2 S 2.39
P1 0.0000 0.5000 0.5000 (multiplicity 2)  2 As 2.38
S1 0.5000 0.5000 0.0000 (multiplicity 1)  2 As 2.39

## Properties
For the formation energy (no corrections), the calculation gives 0.6374 eV per atom.

***

11.
Below is a relaxed structure of PmGe3Pt3, with properties calculated at the GGA-PBE level.

abc: 6.8196 6.8196 6.8196
angles: 90.00 90.00 90.00
Last column: nearest neighbours and their distance in Å.
Space group Pm-3n (No. 223)
Inequivalent atoms, fractional coordinates:
Pm1 0.0000 0.0000 0.0000 (multiplicity 2)  12 Ge 3.81, 12 Pt 3.81
Ge1 0.0000 0.2500 0.5000 (multiplicity 6)  4 Pt 2.41
Pt1 0.0000 0.5000 0.2500 (multiplicity 6)  4 Ge 2.41

## Properties
The calculation puts the formation energy from the elements at -3.041 eV per formula unit.

***

12.
Below is a relaxed structure of Sr3ScW, with properties calculated at the GGA-PBE level.

abc: 5.8786 5.8786 5.8786
angles: 90.00 90.00 90.00
Last column: nearest neighbours and their distance in Å.
Space group Pm-3m (No. 221)
Inequivalent atoms, fractional coordinates:
Sr1 0.0000 0.0000 0.5000 (multiplicity 3)  2 W 2.94
Sc1 0.5000 0.5000 0.5000 (multiplicity 1)  12 Sr 4.16
W1 0.0000 0.0000 0.0000 (multiplicity 1)  6 Sr 2.94

## Properties
The calculation puts the formation energy from the elements at 6.188 eV per formula unit.

***

> What is the formula in the second record?

CdHg4P

***

What did the second record say?
Below is a relaxed structure of CdHg4P, with properties calculated at the GGA-PBE level.

abc: 8.4159 8.4159 8.4159
angles: 90.00 90.00 90.00
Last column: nearest neighbours and their distance in Å.
Space group F-43m (No. 216)
Inequivalent atoms, fractional coordinates:
Cd1 0.0000 0.0000 0.0000 (multiplicity 4)  12 Hg 3.49, 4 P 3.64
Hg1 0.1245 0.1245 0.6245 (multiplicity 16)  6 Hg 2.96-2.99
P1 0.2500 0.2500 0.2500 (multiplicity 4)  12 Hg 3.49, 4 Cd 3.64

## Properties
The calculation puts the formation energy from the elements at 2.992 eV per formula unit.